1.
Material: Rb2AlAu2
Method: DFT, PBE
State: relaxed

Values from the calculation:
formation energy	-112	meV/atom
E above lowest polymorph	77	kJ/mol of formula units

Cell lengths 7.1932, 7.1932, 5.7029 Å; angles 90.00, 90.00, 90.00 degrees
Fractional coordinates of all 10 atoms:
1 Rb 0.1702 0.3298 0.0000
2 Rb 0.3298 0.8298 0.0000
3 Rb 0.6702 0.1702 0.0000
4 Rb 0.8298 0.6702 0.0000
5 Al 0.0000 0.0000 0.5000
6 Al 0.5000 0.5000 0.5000
7 Au 0.1503 0.6503 0.5000
8 Au 0.3497 0.1503 0.5000
9 Au 0.6503 0.8497 0.5000
10 Au 0.8497 0.3497 0.5000

***

2.
Material: TbTh2Tl
Method: DFT, PBE
State: relaxed

Values from the calculation:
formation energy	23	meV/atom
E above lowest polymorph	48	kJ/mol of formula units

Cell lengths 3.5064, 3.5064, 10.1599 Å; angles 90.00, 90.00, 90.00 degrees
Fractional coordinates of all 4 atoms:
1 Tb 0.0000 0.0000 0.0000
2 Th 0.5000 0.5000 0.2602
3 Th 0.5000 0.5000 0.7398
4 Tl 0.0000 0.0000 0.5000

***

3.
Material: InP2Cl
Method: DFT, PBE
State: relaxed

Values from the calculation:
energy relative to the elements, uncorrected	2.57	eV per formula unit
E above lowest polymorph	345	kJ/mol of formula units

Cell lengths 4.9868, 4.9868, 3.1294 Å; angles 90.00, 90.00, 90.00 degrees
Fractional coordinates of all 4 atoms:
1 In 0.0000 0.0000 0.0000
2 P 0.0000 0.5000 0.5000
3 P 0.5000 0.0000 0.5000
4 Cl 0.5000 0.5000 0.0000

***

Number 3 is which compound?
InP2Cl